# 1
Material: BeCdSeO
Method: DFT, PBE
State: optimized geometry

Summary:
relative energy among the computed polymorphs = 4.62 eV/f.u.
DFT total energy = -3.526 eV per atom
space-group type = P4/nmm, No. 129

Lattice parameters (Å, degrees): 3.9911 3.9911 8.0470 90.00 90.00 90.00
Positions (direct):
1 Se 0.2500 0.2500 0.3074
2 Cd 0.2500 0.7500 0.0000
3 Cd 0.7500 0.2500 0.0000
4 Be 0.2500 0.2500 0.7077
5 Se 0.7500 0.7500 0.6926
6 O 0.7500 0.7500 0.4701
7 Be 0.7500 0.7500 0.2923
8 O 0.2500 0.2500 0.5299

# 2
Material: BeCdSeO
Method: DFT, PBE
State: optimized geometry

Summary:
relative energy among the computed polymorphs = 1.20 eV/f.u.
DFT total energy = -4.382 eV per atom
space-group type = Pca2_1, No. 29

Lattice parameters (Å, degrees): 6.3042 6.8370 6.0727 90.00 90.00 90.00
Positions (direct):
1 Be 0.9457 0.3397 0.0354
2 Se 0.8879 0.3865 0.6703
3 Be 0.5543 0.3397 0.5354
4 Se 0.6121 0.3865 0.1703
5 O 0.5587 0.8568 0.0894
6 O 0.4413 0.1432 0.5894
7 Be 0.0543 0.6603 0.5354
8 O 0.0587 0.1432 0.0894
9 Cd 0.8921 0.8731 0.9548
10 O 0.9413 0.8568 0.5894
11 Be 0.4457 0.6603 0.0354
12 Se 0.1121 0.6135 0.1703
13 Se 0.3879 0.6135 0.6703
14 Cd 0.6079 0.8731 0.4549
15 Cd 0.3921 0.1269 0.9548
16 Cd 0.1079 0.1269 0.4549

# 3
Material: BeCdSeO
Method: DFT, PBE
State: optimized geometry

Summary:
relative energy among the computed polymorphs = 2.78 eV/f.u.
DFT total energy = -3.987 eV per atom
space-group type = P4/nmm, No. 129

Lattice parameters (Å, degrees): 3.3825 3.3825 11.7011 90.00 90.00 90.00
Positions (direct):
1 O 0.2500 0.2500 0.3988
2 Cd 0.7500 0.7500 0.4006
3 Be 0.2500 0.7500 0.0000
4 O 0.7500 0.7500 0.6012
5 Se 0.7500 0.7500 0.8786
6 Cd 0.2500 0.2500 0.5994
7 Be 0.7500 0.2500 0.0000
8 Se 0.2500 0.2500 0.1214

# 4
Material: BeCdSeO
Method: DFT, PBE
State: optimized geometry

Summary:
relative energy among the computed polymorphs = 3.01 eV/f.u.
DFT total energy = -3.930 eV per atom
space-group type = P4/nmm, No. 129

Lattice parameters (Å, degrees): 4.6703 4.6703 6.2453 90.00 90.00 90.00
Positions (direct):
1 Cd 0.2500 0.2500 0.2126
2 Se 0.7500 0.2500 0.5000
3 Cd 0.7500 0.7500 0.7874
4 O 0.7500 0.7500 0.1123
5 Se 0.2500 0.7500 0.5000
6 O 0.2500 0.2500 0.8877
7 Be 0.7500 0.7500 0.3404
8 Be 0.2500 0.2500 0.6596

# 5
Material: BeCdSeO
Method: DFT, PBE
State: optimized geometry

Summary:
relative energy among the computed polymorphs = 0.00 eV/f.u.
DFT total energy = -4.682 eV per atom
space-group type = Pca2_1, No. 29

Lattice parameters (Å, degrees): 5.4671 9.8798 4.9698 90.00 90.00 90.00
Positions (direct):
1 Cd 0.0383 0.6050 0.4976
2 O 0.1255 0.0026 0.2122
3 Be 0.1246 0.0039 0.5424
4 Be 0.6246 0.9961 0.5424
5 Cd 0.9617 0.3950 0.9976
6 O 0.3745 0.0026 0.7122
7 Be 0.8754 0.9961 0.0424
8 Cd 0.5382 0.3950 0.4976
9 O 0.6255 0.9974 0.2122
10 O 0.8745 0.9974 0.7122
11 Be 0.3754 0.0039 0.0424
12 Se 0.0280 0.3181 0.4978
13 Se 0.9720 0.6819 0.9978
14 Se 0.5280 0.6819 0.4978
15 Se 0.4720 0.3181 0.9978
16 Cd 0.4618 0.6050 0.9976

# 6
Material: BeCdSeO
Method: DFT, PBE
State: optimized geometry

Summary:
relative energy among the computed polymorphs = 3.08 eV/f.u.
DFT total energy = -3.912 eV per atom
space-group type = P4/nmm, No. 129

Lattice parameters (Å, degrees): 4.5569 4.5569 6.3641 90.00 90.00 90.00
Positions (direct):
1 Cd 0.7500 0.7500 0.2088
2 O 0.7500 0.7500 0.8889
3 Be 0.2500 0.2500 0.3366
4 O 0.2500 0.2500 0.1111
5 Be 0.7500 0.7500 0.6634
6 Se 0.2500 0.7500 0.5000
7 Cd 0.2500 0.2500 0.7912
8 Se 0.7500 0.2500 0.5000

# 7
Material: BeCdSeO
Method: DFT, PBE
State: optimized geometry

Summary:
relative energy among the computed polymorphs = 1.27 eV/f.u.
DFT total energy = -4.364 eV per atom
space-group type = Pbca, No. 61

Lattice parameters (Å, degrees): 6.2711 13.3196 6.4109 90.00 90.00 90.00
Positions (direct):
1 Se 0.1984 0.9347 0.8750
2 Be 0.8431 0.9170 0.9505
3 O 0.2181 0.1795 0.9299
4 Be 0.6569 0.0830 0.4505
5 Be 0.3431 0.9170 0.5495
6 Be 0.8431 0.5830 0.4505
7 Se 0.1984 0.5653 0.3750
8 O 0.7181 0.1795 0.5701
9 O 0.7819 0.8205 0.0701
10 Be 0.1569 0.4170 0.5495
11 Se 0.3016 0.4347 0.8750
12 Se 0.6984 0.5653 0.1250
13 Cd 0.5738 0.1861 0.8929
14 Cd 0.4262 0.8139 0.1071
15 Se 0.8016 0.4347 0.6250
16 Cd 0.0738 0.3139 0.1071
17 O 0.7181 0.3205 0.0701
18 O 0.2819 0.6795 0.9299
19 Cd 0.4262 0.6861 0.6071
20 Se 0.6984 0.9347 0.6250
21 O 0.2819 0.8205 0.4299
22 Cd 0.9262 0.6861 0.8929
23 Be 0.6569 0.4170 0.9505
24 Se 0.8016 0.0653 0.1250
25 O 0.2181 0.3205 0.4299
26 Cd 0.9262 0.8139 0.3929
27 Cd 0.5738 0.3139 0.3929
28 O 0.7819 0.6795 0.5701
29 Se 0.3016 0.0653 0.3750
30 Be 0.3431 0.5830 0.0495
31 Be 0.1569 0.0830 0.0495
32 Cd 0.0738 0.1861 0.6071

# 8
Material: BeCdSeO
Method: DFT, PBE
State: optimized geometry

Summary:
relative energy among the computed polymorphs = 0.58 eV/f.u.
DFT total energy = -4.537 eV per atom
space-group type = Pbca, No. 61

Lattice parameters (Å, degrees): 7.4384 12.6459 5.3262 90.00 90.00 90.00
Positions (direct):
1 Be 0.6266 0.2043 0.3650
2 O 0.8722 0.7072 0.6626
3 Se 0.6233 0.5876 0.2465
4 O 0.3722 0.7928 0.3374
5 O 0.6278 0.2072 0.6626
6 Be 0.8734 0.7957 0.8650
7 Cd 0.6223 0.5906 0.7466
8 O 0.6278 0.2928 0.1626
9 Cd 0.8777 0.4094 0.2466
10 Be 0.8734 0.7043 0.3650
11 Se 0.1233 0.9124 0.7535
12 Se 0.1233 0.5876 0.2535
13 Cd 0.3777 0.4094 0.2534
14 Cd 0.8777 0.0906 0.7466
15 O 0.8722 0.7928 0.1626
16 Be 0.1266 0.2957 0.6350
17 Cd 0.6223 0.9094 0.2466
18 Be 0.6266 0.2957 0.8650
19 Se 0.6233 0.9124 0.7465
20 Se 0.8767 0.0876 0.2465
21 Se 0.3767 0.0876 0.2535
22 O 0.1278 0.2928 0.3374
23 O 0.1278 0.2072 0.8374
24 Cd 0.3777 0.0906 0.7534
25 O 0.3722 0.7072 0.8374
26 Se 0.3767 0.4124 0.7535
27 Be 0.1266 0.2043 0.1350
28 Be 0.3734 0.7957 0.6350
29 Be 0.3734 0.7043 0.1350
30 Se 0.8767 0.4124 0.7465
31 Cd 0.1223 0.5906 0.7534
32 Cd 0.1223 0.9094 0.2534

# 9
Material: Be3Cd4Si3TeO12
Method: DFT, PBE
State: optimized geometry

Summary:
DFT total energy = -6.257 eV per atom
space-group type = P-43n, No. 218

Lattice parameters (Å, degrees): 8.5860 8.5860 8.5860 90.00 90.00 90.00
Positions (direct):
1 Be 0.0000 0.2500 0.5000
2 O 0.3540 0.0636 0.6468
3 O 0.5636 0.1460 0.8532
4 Te 0.0000 0.0000 0.0000
5 O 0.1460 0.8532 0.5636
6 O 0.0636 0.6468 0.3540
7 O 0.5636 0.8540 0.1468
8 Be 0.2500 0.5000 0.0000
9 Be 0.7500 0.5000 0.0000
10 O 0.4364 0.1460 0.1468
11 Si 0.0000 0.5000 0.2500
12 O 0.3532 0.6460 0.0636
13 O 0.1468 0.5636 0.8540
14 Si 0.0000 0.5000 0.7500
15 O 0.3532 0.3540 0.9364
16 Si 0.2500 0.0000 0.5000
17 Cd 0.8164 0.1836 0.8164
18 O 0.8532 0.4364 0.8540
19 Cd 0.6836 0.3164 0.3164
20 O 0.9364 0.6468 0.6460
21 O 0.1468 0.4364 0.1460
22 O 0.6460 0.9364 0.6468
23 O 0.6468 0.6460 0.9364
24 O 0.0636 0.3532 0.6460
25 O 0.3540 0.9364 0.3532
26 Cd 0.8164 0.8164 0.1836
27 O 0.4364 0.8540 0.8532
28 Si 0.5000 0.7500 0.0000
29 O 0.1460 0.1468 0.4364
30 Be 0.5000 0.0000 0.7500
31 Te 0.5000 0.5000 0.5000
32 Be 0.5000 0.0000 0.2500
33 O 0.9364 0.3532 0.3540
34 Cd 0.3164 0.6836 0.3164
35 Cd 0.3164 0.3164 0.6836
36 Cd 0.1836 0.8164 0.8164
37 O 0.6468 0.3540 0.0636
38 Cd 0.6836 0.6836 0.6836
39 Si 0.5000 0.2500 0.0000
40 O 0.8532 0.5636 0.1460
41 Be 0.0000 0.7500 0.5000
42 O 0.8540 0.1468 0.5636
43 O 0.8540 0.8532 0.4364
44 Cd 0.1836 0.1836 0.1836
45 O 0.6460 0.0636 0.3532
46 Si 0.7500 0.0000 0.5000

# 10
Material: BeCdTeO
Method: DFT, PBE
State: optimized geometry

Summary:
relative energy among the computed polymorphs = 2.15 eV/f.u.
DFT total energy = -3.848 eV per atom
space-group type = P4/nmm, No. 129

Lattice parameters (Å, degrees): 4.4787 4.4787 7.0901 90.00 90.00 90.00
Positions (direct):
1 Be 0.7500 0.7500 0.3249
2 Te 0.7500 0.7500 0.6578
3 Cd 0.7500 0.2500 0.0000
4 O 0.7500 0.7500 0.1119
5 Cd 0.2500 0.7500 0.0000
6 Te 0.2500 0.2500 0.3422
7 Be 0.2500 0.2500 0.6751
8 O 0.2500 0.2500 0.8881

# 11
Material: BeCdTeO
Method: DFT, PBE
State: optimized geometry

Summary:
relative energy among the computed polymorphs = 1.17 eV/f.u.
DFT total energy = -4.095 eV per atom
space-group type = P2_12_12_1, No. 19

Lattice parameters (Å, degrees): 6.5896 7.2003 7.5816 90.00 90.00 90.00
Positions (direct):
1 Te 0.4398 0.6315 0.9361
2 Cd 0.3086 0.6507 0.5790
3 O 0.1078 0.8928 0.5489
4 Cd 0.8086 0.8493 0.4210
5 Be 0.6987 0.4243 0.4679
6 Te 0.5602 0.1314 0.5639
7 Be 0.1987 0.0757 0.5321
8 Te 0.0602 0.3685 0.4361
9 Be 0.3013 0.9243 0.0321
10 Be 0.8013 0.5757 0.9679
11 O 0.6078 0.6072 0.4511
12 Cd 0.1914 0.3493 0.0790
13 Te 0.9398 0.8685 0.0639
14 Cd 0.6914 0.1507 0.9210
15 O 0.3922 0.1072 0.0489
16 O 0.8922 0.3928 0.9511

# 12
Material: BeCdTeO
Method: DFT, PBE
State: optimized geometry

Summary:
relative energy among the computed polymorphs = 4.46 eV/f.u.
DFT total energy = -3.272 eV per atom
space-group type = Cm, No. 8

Lattice parameters (Å, degrees): 3.5476 3.5476 12.0831 83.81 83.81 73.62
Positions (direct):
1 O 0.2332 0.2332 0.6303
2 Be 0.8128 0.3159 0.9407
3 O 0.6135 0.6135 0.4452
4 Te 0.3334 0.3334 0.7969
5 Be 0.3159 0.8128 0.9407
6 Cd 0.2708 0.2708 0.0992
7 Te 0.7274 0.7274 0.2830
8 Cd 0.9031 0.9031 0.5524

# 13
Material: BeCdTeO
Method: DFT, PBE
State: optimized geometry

Summary:
relative energy among the computed polymorphs = 1.19 eV/f.u.
DFT total energy = -4.088 eV per atom
space-group type = Pca2_1, No. 29

Lattice parameters (Å, degrees): 6.5911 7.0995 6.4153 90.00 90.00 90.00
Positions (direct):
1 Be 0.4616 0.6812 0.0439
2 Cd 0.3837 0.1110 0.9427
3 O 0.0707 0.1325 0.0935
4 Te 0.3926 0.6272 0.6698
5 O 0.9293 0.8675 0.5935
6 Te 0.6074 0.3728 0.1698
7 Be 0.0384 0.6812 0.5439
8 Cd 0.1163 0.1110 0.4427
9 Cd 0.6163 0.8890 0.4427
10 Be 0.9616 0.3188 0.0439
11 O 0.4293 0.1325 0.5935
12 Te 0.8926 0.3728 0.6698
13 Te 0.1074 0.6272 0.1698
14 O 0.5707 0.8675 0.0935
15 Cd 0.8837 0.8890 0.9427
16 Be 0.5384 0.3188 0.5439

# 14
Material: BeCdTeO
Method: DFT, PBE
State: optimized geometry

Summary:
relative energy among the computed polymorphs = 0.18 eV/f.u.
DFT total energy = -4.342 eV per atom
space-group type = Pbca, No. 61

Lattice parameters (Å, degrees): 5.1631 11.7389 10.9418 90.00 90.00 90.00
Positions (direct):
1 Cd 0.6998 0.4759 0.8550
2 O 0.9006 0.3517 0.2760
3 O 0.0994 0.8517 0.2240
4 Cd 0.3002 0.9759 0.6450
5 O 0.0994 0.6483 0.7240
6 Cd 0.8002 0.5241 0.3550
7 Te 0.3053 0.6277 0.4106
8 Te 0.8053 0.6277 0.0894
9 Cd 0.1998 0.0241 0.1450
10 O 0.5994 0.8517 0.2760
11 Cd 0.3002 0.5241 0.1450
12 Cd 0.8002 0.9759 0.8550
13 Te 0.1947 0.3723 0.9106
14 Te 0.6947 0.3723 0.5894
15 Te 0.1947 0.1277 0.4106
16 Cd 0.1998 0.4759 0.6450
17 O 0.4006 0.1483 0.7240
18 Be 0.1674 0.1957 0.7843
19 Be 0.6674 0.1957 0.7157
20 Te 0.8053 0.8723 0.5894
21 Be 0.8326 0.6957 0.7157
22 Be 0.8326 0.8043 0.2157
23 Cd 0.6998 0.0241 0.3550
24 O 0.5994 0.6483 0.7760
25 O 0.4006 0.3517 0.2240
26 Be 0.1674 0.3043 0.2843
27 Be 0.6674 0.3043 0.2157
28 Be 0.3326 0.8043 0.2843
29 Te 0.3053 0.8723 0.9106
30 O 0.9006 0.1483 0.7760
31 Be 0.3326 0.6957 0.7843
32 Te 0.6947 0.1277 0.0894

# 15
Material: BeCdTeO
Method: DFT, PBE
State: optimized geometry

Summary:
relative energy among the computed polymorphs = 3.13 eV/f.u.
DFT total energy = -3.604 eV per atom
space-group type = P4/nmm, No. 129

Lattice parameters (Å, degrees): 4.5638 4.5638 7.4806 90.00 90.00 90.00
Positions (direct):
1 Cd 0.2500 0.2500 0.1635
2 Be 0.7500 0.7500 0.3077
3 O 0.7500 0.7500 0.1163
4 Cd 0.7500 0.7500 0.8365
5 Be 0.2500 0.2500 0.6923
6 Te 0.2500 0.7500 0.5000
7 O 0.2500 0.2500 0.8837
8 Te 0.7500 0.2500 0.5000

# 16
Material: BeCdTeO
Method: DFT, PBE
State: optimized geometry

Summary:
relative energy among the computed polymorphs = 1.69 eV/f.u.
DFT total energy = -3.964 eV per atom
space-group type = P4/nmm, No. 129

Lattice parameters (Å, degrees): 3.7006 3.7006 10.0679 90.00 90.00 90.00
Positions (direct):
1 Be 0.2500 0.2500 0.4763
2 O 0.7500 0.2500 0.5000
3 Cd 0.2500 0.2500 0.7554
4 O 0.2500 0.7500 0.5000
5 Be 0.7500 0.7500 0.5237
6 Cd 0.7500 0.7500 0.2446
7 Te 0.7500 0.7500 0.8511
8 Te 0.2500 0.2500 0.1489

# 17
Material: BeCdTeO
Method: DFT, PBE
State: optimized geometry

Summary:
relative energy among the computed polymorphs = 4.03 eV/f.u.
DFT total energy = -3.379 eV per atom
space-group type = P4/nmm, No. 129

Lattice parameters (Å, degrees): 3.9328 3.9328 9.2931 90.00 90.00 90.00
Positions (direct):
1 O 0.2500 0.7500 0.5000
2 Cd 0.7500 0.7500 0.3938
3 Be 0.2500 0.2500 0.8997
4 Te 0.2500 0.2500 0.1579
5 Be 0.7500 0.7500 0.1003
6 Te 0.7500 0.7500 0.8421
7 Cd 0.2500 0.2500 0.6062
8 O 0.7500 0.2500 0.5000